(w)
Computed, not measured: a relaxed NiAu5 crystal at the PBE-GGA level of DFT.

Unit cell a=5.413 b=5.413 c=4.748 alpha=90.00 beta=90.00 gamma=120.00
Fractional coordinates of all 6 atoms:
Au1 0.000 0.500 0.500
Au2 0.500 0.500 0.500
Au3 0.667 0.333 0.000
Au4 0.333 0.667 0.000
Au5 0.500 0.000 0.500
Ni1 0.000 0.000 0.000

For the total magnetization, the calculation gives 0.1582 μB per atom.


(x)
Computed, not measured: a relaxed NiAu5 crystal at the PBE-GGA level of DFT.

Unit cell a=3.919 b=4.174 c=6.569 alpha=108.52 beta=90.00 gamma=90.00
Fractional coordinates of all 6 atoms:
Au1 0.500 0.500 0.000
Au2 0.000 0.664 0.328
Au3 0.000 0.336 0.672
Au4 0.500 0.841 0.683
Au5 0.500 0.159 0.317
Ni1 0.000 0.000 0.000

For the total magnetization, the calculation gives 0.0000 μB per atom.


Stability check: which of them is most stable? (x).


(w)
Computed, not measured: a relaxed NiAu5 crystal at the PBE-GGA level of DFT.

Unit cell a=2.908 b=7.531 c=4.775 alpha=90.00 beta=90.00 gamma=78.87
Fractional coordinates of all 6 atoms:
Au1 0.337 0.326 0.000
Au2 0.667 0.666 0.000
Au3 0.546 0.907 0.500
Au4 0.998 0.004 0.000
Au5 0.230 0.539 0.500
Ni1 0.888 0.224 0.500

For the total magnetization, the calculation gives 0.0500 μB per atom.


(x)
Computed, not measured: a relaxed NiAu5 crystal at the PBE-GGA level of DFT.

Unit cell a=5.436 b=5.436 c=5.436 alpha=60.00 beta=60.00 gamma=60.00
Fractional coordinates of all 6 atoms:
Au1 0.875 0.375 0.375
Au2 0.375 0.875 0.375
Au3 0.375 0.375 0.375
Au4 0.750 0.750 0.750
Au5 0.375 0.375 0.875
Ni1 0.000 0.000 0.000

For the total magnetization, the calculation gives 0.1239 μB per atom.


(y)
Computed, not measured: a relaxed NiAu5 crystal at the PBE-GGA level of DFT.

Unit cell a=5.316 b=5.316 c=10.226 alpha=136.19 beta=136.19 gamma=32.34
Fractional coordinates of all 6 atoms:
Au1 0.001 0.001 0.959
Au2 0.451 0.451 0.422
Au3 0.158 0.158 0.797
Au4 0.306 0.306 0.613
Au5 0.612 0.612 0.267
Ni1 0.805 0.805 0.109

For the total magnetization, the calculation gives 0.0002 μB per atom.


Stability check: which of them is most stable? (y).


(w)
Computed, not measured: a relaxed Ni4Au crystal at the PBE-GGA level of DFT.

Unit cell a=5.814 b=5.814 c=4.500 alpha=49.76 beta=49.76 gamma=90.00
Fractional coordinates of all 5 atoms:
Ni1 0.191 0.406 0.000
Ni2 0.406 0.809 0.000
Ni3 0.809 0.594 0.000
Ni4 0.594 0.191 0.000
Au1 0.000 0.000 0.000

For the total magnetization, the calculation gives 0.4527 μB per atom.


(x)
Computed, not measured: a relaxed Ni4Au crystal at the PBE-GGA level of DFT.

Unit cell a=4.631 b=4.631 c=4.631 alpha=90.00 beta=90.00 gamma=90.00
Fractional coordinates of all 5 atoms:
Ni1 0.500 0.000 0.500
Ni2 0.000 0.000 0.000
Ni3 0.500 0.500 0.000
Ni4 0.000 0.500 0.500
Au1 0.500 0.500 0.500

For the total magnetization, the calculation gives 0.6303 μB per atom.


Stability check: which of them is most stable? (w).